{"formula": "ZnOs2Rh", "functional": "PBE-GGA", "state": "optimized geometry", "total_magnetization_mub_per_cell": 0.0, "spacegroup": "No. 25", "cell": [[-2.099, -1.759, -0.408], [2.452, -2.867, -0.250], [-0.380, -0.793, 5.374]], "species": ["Os", "Os", "Rh", "Zn"], "fractional_positions": [[0.000, 0.000, 0.015], [0.500, 0.500, 0.230], [0.000, 0.000, 0.517], [0.500, 0.500, 0.738]]}

***

{"formula": "Tl3SnPb2S6", "functional": "PBE-GGA", "state": "optimized geometry", "total_magnetization_mub_per_cell": 0.0, "formation_energy_uncorrected_mev_per_atom": -380, "spacegroup": "No. 12", "cell": [[7.181, 0.033, 0.007], [-3.560, 6.237, 0.007], [-1.201, -2.079, 7.134]], "species": ["Tl", "Tl", "Tl", "Sn", "Pb", "Pb", "S", "S", "S", "S", "S", "S"], "fractional_positions": [[0.170, 0.830, 0.500], [0.830, 0.170, 0.500], [0.500, 0.500, 0.500], [0.000, 0.000, 0.000], [0.335, 0.665, 0.000], [0.665, 0.335, 0.000], [0.931, 0.632, 0.791], [0.776, 0.776, 0.224], [0.069, 0.368, 0.209], [0.632, 0.931, 0.791], [0.224, 0.224, 0.776], [0.368, 0.069, 0.209]]}

***

Quick rundown of energy, same order as above: -7.70, -3.99 eV per atom